LiCd2Rh2: relaxed, PBE.

Output
Energy above the most stable polymorph in this dataset   0 meV per atom
DOS at the Fermi energy   15.1 states/eV/cell
Energy of formation   -0.1253 eV per atom
Total DFT energy (no corrections)   -76.3 eV per cell

Cell lengths 9.6090, 5.0053, 7.5543 Å; angles 90.00, 116.02, 90.00 degrees
Closest atoms and distances in Å follow each position.
Space group C2/c (No. 15)
One atom of each set of equivalent atoms:
Li1 0.0000 0.1790 0.2500  6 Rh 2.71-3.02, 6 Cd 2.73-2.88
Cd1 0.1882 0.1472 0.6449  3 Li 2.73-2.88, 6 Rh 2.76-2.89, 2 Cd 2.92
Rh1 0.1017 0.3508 0.9411  3 Rh 2.68-2.89, 2 Li 2.71-2.97, 6 Cd 2.76-2.89



Li2CdRh: relaxed, PBE.

Output
DOS at the Fermi energy   4.7 states/eV/cell
Energy of formation   0.0000 eV per atom
Total DFT energy (no corrections)   -24.2 eV per cell

Cell lengths 2.9638, 4.6299, 10.0366 Å; angles 90.00, 90.00, 90.00 degrees
Closest atoms and distances in Å follow each position.
Space group Immm (No. 71)
One atom of each set of equivalent atoms:
Li1 0.0000 0.0000 0.2357  1 Rh 2.37
Cd1 0.0000 0.0000 0.5000  2 Li 2.65, 4 Rh 2.75, 2 Cd 2.96
Rh1 0.0000 0.0000 0.0000  2 Li 2.37



Li4CdRh: relaxed, PBE.

Output
Energy above the most stable polymorph in this dataset   5 meV per atom
DOS at the Fermi energy   3.5 states/eV/cell
Energy of formation   -0.1796 eV per atom
Total DFT energy (no corrections)   -34.0 eV per cell

Cell lengths 8.7107, 4.1857, 5.5337 Å; angles 90.00, 112.20, 90.00 degrees
Closest atoms and distances in Å follow each position.
Space group C2/m (No. 12)
One atom of each set of equivalent atoms:
Li1 0.1506 0.0000 0.3056  2 Li 2.58-2.62, 2 Rh 2.70, 1 Cd 2.82
Li2 0.1741 0.0000 0.8554  4 Li 2.58-2.66, 3 Rh 2.64-2.87, 2 Cd 2.88
Cd1 0.0000 0.5000 0.5000  2 Rh 2.77, 10 Li 2.82-2.89
Rh1 0.0000 0.5000 0.0000  10 Li 2.64-2.87, 2 Cd 2.77



Li4CdRh2: relaxed, PBE.

Output
Energy above the most stable polymorph in this dataset   0 meV per atom
DOS at the Fermi energy   6.4 states/eV/cell
Energy of formation   -0.1225 eV per atom
Total DFT energy (no corrections)   -48.3 eV per cell

Cell lengths 4.7640, 9.8943, 4.4348 Å; angles 90.00, 90.00, 90.00 degrees
Closest atoms and distances in Å follow each position.
Space group Pbam (No. 55)
One atom of each set of equivalent atoms:
Li1 0.0284 0.1928 0.0000  4 Rh 2.62-2.71, 4 Li 2.64-2.79
Li2 0.2091 0.9348 0.5000  1 Li 2.37, 3 Rh 2.47-2.54
Cd1 0.0000 0.5000 0.0000  6 Li 2.69-2.95, 4 Rh 3.00
Rh1 0.1804 0.6854 0.5000  7 Li 2.47-2.71, 2 Rh 2.70



| no. | theoretical density (g/cm³) |
| --- | --- |
| 1 | 8.9 |
| 2 | 5.5 |
| 3 | 4.3 |
| 4 | 5.5 |